Entry from the Alexandria database: a relaxed Th2TcI crystal (PBE-GGA).

Structure (POSCAR):
```
Th2TcI
1.0
-0.9524 -0.0076 3.3859
0.2256 -3.5096 0.0556
8.3359 0.5730 2.3460
I Tc Th
1 1 2
Direct
0.5000 0.5000 0.5000
0.5000 0.5000 0.0000
0.0000 0.0000 0.7929
0.0000 0.0000 0.2071
```

Total DFT energy (no corrections): -28.25 eV for the cell shown
Crystal system: tetragonal
E above lowest polymorph: 0.140 eV per atom
Formation energy (no corrections): -372.4 meV per atom